# Li2BiWO6 (GGA+U, relaxed)
data_Li2BiWO6
_chemical_formula_sum 'Li2 Bi1 W1 O6'
_symmetry_space_group_name_H-M 'P 1'
_symmetry_Int_Tables_number 1
_cell_length_a 5.3502
_cell_length_b 5.3494
_cell_length_c 5.7050
_cell_angle_alpha 62.05
_cell_angle_beta 62.04
_cell_angle_gamma 60.01
loop_
_symmetry_equiv_pos_as_xyz
'x,y,z'
loop_
_atom_site_label
_atom_site_type_symbol
_atom_site_fract_x
_atom_site_fract_y
_atom_site_fract_z
Li1 Li 0.5318 0.5320 0.4046
Li2 Li 0.0338 0.0330 0.8996
Bi1 Bi 0.8139 0.8136 0.5587
W1 W 0.3186 0.3183 0.0446
O1 O 0.5617 0.2342 0.2535
O2 O 0.2339 0.9507 0.2529
O3 O 0.9506 0.5627 0.2529
O4 O 0.4023 0.6973 0.7825
O5 O 0.6975 0.1177 0.7829
O6 O 0.1175 0.4021 0.7830
# total energy = -6.208 eV/atom
# V = 11.89 A^3/atom
# mass density = 7020 kg/m³